Below is crystalline PrZrNiRh at its relaxed geometry, with properties calculated at the PBE level.

Structure (POSCAR):
```
PrZrNiRh
1.0
0.000 3.408 3.408
3.408 0.000 3.408
3.408 3.408 0.000
Pr Zr Ni Rh
1 1 1 1
Direct
0.000 0.000 0.000 Pr
0.500 0.500 0.500 Zr
0.750 0.750 0.750 Ni
0.250 0.250 0.250 Rh
```

Calculated values
SG	F-43m (216)
D(E_F)	6.0	states/eV/f.u.
volume	19.785	A^3/atom
DFT formation energy	-131	kJ/mol of formula units

Below is crystalline AcNi12P6 at its relaxed geometry, with properties calculated at the PBE level.

Structure (POSCAR):
```
AcNi12P6
1.0
5.133 2.963 2.718
-5.133 2.963 2.718
0.000 -5.927 2.718
Ac Ni P
1 12 6
Direct
0.000 0.000 0.000 Ac
0.132 0.500 0.868 Ni
0.132 0.868 0.500 Ni
0.179 0.462 0.462 Ni
0.462 0.179 0.462 Ni
0.462 0.462 0.179 Ni
0.500 0.132 0.868 Ni
0.500 0.868 0.132 Ni
0.538 0.538 0.821 Ni
0.538 0.821 0.538 Ni
0.821 0.538 0.538 Ni
0.868 0.132 0.500 Ni
0.868 0.500 0.132 Ni
0.233 0.233 0.661 P
0.233 0.661 0.233 P
0.339 0.767 0.767 P
0.661 0.233 0.233 P
0.767 0.339 0.767 P
0.767 0.767 0.339 P
```

Calculated values
SG	R-3m (166)
D(E_F)	12.0	states/eV/f.u.
volume	13.055	A^3/atom
DFT formation energy	-1042	kJ/mol of formula units

Below is crystalline BaWBr2 at its relaxed geometry, with properties calculated at the PBE level.

Structure (POSCAR):
```
BaWBr2
1.0
-2.077 3.005 4.461
2.077 -3.005 4.461
2.077 3.005 -4.461
Ba W Br
1 1 2
Direct
0.000 0.000 0.000 Ba
0.500 0.500 0.000 W
0.325 0.825 0.500 Br
0.675 0.175 0.500 Br
```

Calculated values
SG	Immm (71)
energy relative to the elements, uncorrected	0.090	eV/atom
D(E_F)	4.1	states/eV/f.u.
volume	27.841	A^3/atom

Below is crystalline RbPbI2Cl at its relaxed geometry, with properties calculated at the PBE level.

Structure (POSCAR):
```
RbPbI2Cl
1.0
2.371 -7.871 0.000
2.371 7.871 0.000
0.000 0.000 11.142
Rb Pb I Cl
2 2 4 2
Direct
0.218 0.782 0.750 Rb
0.782 0.218 0.250 Rb
0.500 0.500 0.000 Pb
0.500 0.500 0.500 Pb
0.137 0.863 0.059 I
0.137 0.863 0.441 I
0.863 0.137 0.559 I
0.863 0.137 0.941 I
0.434 0.566 0.250 Cl
0.566 0.434 0.750 Cl
```

Calculated values
SG	Cmcm (63)
energy relative to the elements, uncorrected	-1.160	eV/atom
D(E_F)	0.0	states/eV/f.u.
volume	41.594	A^3/atom